Record 1
Here is crystalline ZrNbB at its relaxed geometry from Alexandria via LeMat-Bulk. Energies are from PBE.

Computed properties:
As for the symmetry: No. 12. The formation energy is -0.99 eV/f.u.

Cell lengths 4.8525, 4.8525, 7.5633 Å; angles 121.58, 121.58, 39.28 degrees
With the nearest neighbours (Å) after each atom.
Sites, in units of the cell vectors:
Zr  0.2206  0.2206  0.1530  5 B 2.44-2.63
Zr  0.7794  0.7794  0.8470  5 B 2.44-2.63
Nb  0.0722  0.0722  0.3916  2 B 2.45, 1 Nb 2.61
Nb  0.9278  0.9278  0.6084  2 B 2.45, 1 Nb 2.61
B  0.4851  0.4851  0.1072  1 B 1.79
B  0.5149  0.5149  0.8928  1 B 1.79

***

Record 2
Here is crystalline ZrNbB at its relaxed geometry from Alexandria via LeMat-Bulk. Energies are from PBE.

Computed properties:
As for the symmetry: No. 12. The formation energy is -1.18 eV/f.u.

Cell lengths 6.0911, 6.0911, 4.9879 Å; angles 94.85, 94.85, 30.20 degrees
With the nearest neighbours (Å) after each atom.
Sites, in units of the cell vectors:
Zr  0.1478  0.1478  0.3656  4 B 2.57-2.82
Zr  0.8522  0.8522  0.6344  4 B 2.57-2.82
Nb  0.4190  0.4190  0.1705  3 B 2.42, 1 Nb 2.66
Nb  0.5810  0.5810  0.8295  3 B 2.42, 1 Nb 2.66
B  0.2360  0.2360  0.9096  2 B 1.84
B  0.7640  0.7640  0.0904  2 B 1.84

***

Record 3
Here is crystalline ZrNbB at its relaxed geometry from Alexandria via LeMat-Bulk. Energies are from PBE.

Computed properties:
As for the symmetry: No. 8. The formation energy is -1.09 eV/f.u.

Cell lengths 4.9777, 4.9777, 6.8336 Å; angles 121.60, 121.60, 40.50 degrees
With the nearest neighbours (Å) after each atom.
Sites, in units of the cell vectors:
Zr  0.0000  0.0000  0.0000  3 B 2.54-2.83, 2 Nb 2.74
Zr  0.2266  0.2266  0.5559  5 B 2.54-2.67
Nb  0.4015  0.4015  0.2706  4 B 2.43-2.44
Nb  0.6328  0.6328  0.8276  3 B 2.47-2.71, 2 Zr 2.74
B  0.7203  0.7203  0.2785  1 B 1.81
B  0.9364  0.9364  0.5441  1 B 1.81

***

Record 4
Here is crystalline ZrNbB at its relaxed geometry from Alexandria via LeMat-Bulk. Energies are from PBE.

Computed properties:
As for the symmetry: No. 12. The formation energy is -1.05 eV/f.u.

Cell lengths 5.6664, 5.6664, 7.5150 Å; angles 131.17, 131.17, 33.21 degrees
With the nearest neighbours (Å) after each atom.
Sites, in units of the cell vectors:
Zr  0.1673  0.1673  0.2669  3 B 2.50-2.61
Zr  0.8327  0.8327  0.7331  3 B 2.50-2.61
Nb  0.4144  0.4144  0.2341  4 B 2.33-2.44
Nb  0.5856  0.5856  0.7659  4 B 2.33-2.44
B  0.0936  0.0936  0.5319  1 B 1.74
B  0.9064  0.9064  0.4681  1 B 1.74

***

Record 5
Here is crystalline ZrNbB at its relaxed geometry from Alexandria via LeMat-Bulk. Energies are from PBE.

Computed properties:
As for the symmetry: No. 12. The formation energy is -1.23 eV/f.u.

Cell lengths 4.8705, 4.8705, 5.9643 Å; angles 126.35, 126.35, 62.69 degrees
With the nearest neighbours (Å) after each atom.
Sites, in units of the cell vectors:
Zr  0.1549  0.1549  0.4771  4 B 2.53-2.69, 1 Zr 2.77
Zr  0.8451  0.8451  0.5229  4 B 2.53-2.69, 1 Zr 2.77
Nb  0.3264  0.3264  0.1689  4 B 2.45-2.68
Nb  0.6736  0.6736  0.8311  4 B 2.45-2.68
B  0.3165  0.6835  0.0000  1 B 1.86
B  0.6835  0.3165  0.0000  1 B 1.86

***

Record 6
Here is crystalline ZrNbB at its relaxed geometry from Alexandria via LeMat-Bulk. Energies are from PBE.

Computed properties:
As for the symmetry: No. 11. The formation energy is -1.25 eV/f.u.

Cell lengths 4.7877, 3.1713, 6.3679 Å; angles 90.00, 101.76, 90.00 degrees
With the nearest neighbours (Å) after each atom.
Sites, in units of the cell vectors:
Zr  0.2081  0.2500  0.3480  3 B 2.54-2.56
Zr  0.7919  0.7500  0.6520  3 B 2.54-2.56
Nb  0.3360  0.2500  0.8439  4 B 2.38-2.66
Nb  0.6640  0.7500  0.1561  4 B 2.38-2.66
B  0.0995  0.7500  0.0307  2 B 1.85
B  0.9005  0.2500  0.9693  2 B 1.85

***

Record 7
Here is crystalline ZrNbB at its relaxed geometry from Alexandria via LeMat-Bulk. Energies are from PBE.

Computed properties:
As for the symmetry: No. 6. The formation energy is -0.88 eV/f.u.

Cell lengths 3.2690, 5.0706, 5.9692 Å; angles 90.00, 96.71, 90.00 degrees
With the nearest neighbours (Å) after each atom.
Sites, in units of the cell vectors:
Zr  0.0000  0.0000  0.0000  4 B 2.54-2.64
Zr  0.3661  0.5000  0.3337  2 B 2.71, 1 Nb 3.02
Nb  0.8594  0.0000  0.4716  4 B 2.28-2.30
Nb  0.9178  0.5000  0.7763  4 B 2.34-2.39
B  0.4110  0.1766  0.6970  1 B 1.79
B  0.4110  0.8234  0.6970  1 B 1.79

***

Record 8
Here is crystalline ZrNbB at its relaxed geometry from Alexandria via LeMat-Bulk. Energies are from PBE.

Computed properties:
As for the symmetry: No. 2. The formation energy is -1.27 eV/f.u.

Cell lengths 3.1772, 4.7735, 6.3943 Å; angles 78.42, 82.73, 89.40 degrees
With the nearest neighbours (Å) after each atom.
Sites, in units of the cell vectors:
Zr  0.1737  0.2900  0.3458  3 B 2.51-2.55
Zr  0.8263  0.7100  0.6542  3 B 2.51-2.55
Nb  0.3060  0.1648  0.8388  4 B 2.39-2.65
Nb  0.6940  0.8352  0.1612  4 B 2.39-2.65
B  0.2532  0.6016  0.9694  2 B 1.84-1.88
B  0.7468  0.3984  0.0306  2 B 1.84-1.88

***

Record 9
Here is crystalline ZrNbB at its relaxed geometry from Alexandria via LeMat-Bulk. Energies are from PBE.

Computed properties:
As for the symmetry: No. 8. The formation energy is -1.21 eV/f.u.

Cell lengths 4.9288, 4.9288, 5.9773 Å; angles 127.21, 127.21, 62.07 degrees
With the nearest neighbours (Å) after each atom.
Sites, in units of the cell vectors:
Zr  0.0000  0.0000  0.0000  4 B 2.51-2.72, 1 Nb 2.81
Zr  0.1696  0.1696  0.6866  4 B 2.53-2.65, 1 Nb 2.81
Nb  0.5218  0.5218  0.3488  4 B 2.45-2.73
Nb  0.6882  0.6882  0.0404  4 B 2.47-2.67
B  0.1716  0.5332  0.5193  1 B 1.84
B  0.5332  0.1716  0.5193  1 B 1.84

***

Record 10
Here is crystalline ZrNbB at its relaxed geometry from Alexandria via LeMat-Bulk. Energies are from PBE.

Computed properties:
As for the symmetry: No. 1. The formation energy is -1.16 eV/f.u.

Cell lengths 3.1815, 4.8519, 6.2170 Å; angles 80.64, 78.71, 89.44 degrees
With the nearest neighbours (Å) after each atom.
Sites, in units of the cell vectors:
Zr  0.0000  0.0000  0.0000  4 B 2.52-2.71
Zr  0.4557  0.4601  0.1728  3 B 2.56-2.58
Nb  0.1964  0.8593  0.4833  3 B 2.39-2.41
Nb  0.6582  0.3064  0.6360  4 B 2.44-2.71
B  0.0760  0.5554  0.8379  2 B 1.83-1.87
B  0.5894  0.7480  0.7793  2 B 1.83-1.87

***

Record 11
Here is crystalline Zr2NbB6 at its relaxed geometry from Alexandria via LeMat-Bulk. Energies are from PBE.

Computed properties:
As for the symmetry: No. 191. The formation energy is -8.12 eV/f.u.

Cell lengths 5.4673, 5.4673, 3.4743 Å; angles 90.00, 90.00, 120.00 degrees
With the nearest neighbours (Å) after each atom.
Sites, in units of the cell vectors:
Zr  0.3333  0.6667  0.0000  12 B 2.52
Zr  0.6667  0.3333  0.0000  12 B 2.52
Nb  0.0000  0.0000  0.0000  12 B 2.51
B  0.0000  0.3302  0.5000  3 B 1.81-1.86
B  0.0000  0.6698  0.5000  3 B 1.81-1.86
B  0.3302  0.0000  0.5000  3 B 1.81-1.86
B  0.3302  0.3302  0.5000  3 B 1.81-1.86
B  0.6698  0.0000  0.5000  3 B 1.81-1.86
B  0.6698  0.6698  0.5000  3 B 1.81-1.86

***

Record 12
Here is crystalline ZrNbB at its relaxed geometry from Alexandria via LeMat-Bulk. Energies are from PBE.

Computed properties:
As for the symmetry: No. 160. The formation energy is -0.95 eV/f.u.

Cell lengths 5.4851, 5.4851, 5.4851 Å; angles 35.59, 35.59, 35.59 degrees
With the nearest neighbours (Å) after each atom.
Sites, in units of the cell vectors:
Zr  0.0000  0.0000  0.0000  3 B 2.40
Nb  0.5003  0.5003  0.5003  3 B 2.25
B  0.7588  0.7588  0.7588  3 Nb 2.25, 3 Zr 2.40

***

Record 13
Here is crystalline NdB2 at its relaxed geometry from Alexandria via LeMat-Bulk. Energies are from PBE.

Computed properties:
As for the symmetry: No. 12. The formation energy is -0.83 eV/f.u.

Cell lengths 3.9069, 3.9069, 3.1631 Å; angles 103.09, 103.09, 89.22 degrees
With the nearest neighbours (Å) after each atom.
Sites, in units of the cell vectors:
Nd  0.0000  0.0000  0.0000  10 B 2.79-3.00
B  0.4714  0.4714  0.7338  2 B 1.61
B  0.5286  0.5286  0.2662  2 B 1.61

***

Record 14
Here is crystalline Nd2B5 at its relaxed geometry from Alexandria via LeMat-Bulk. Energies are from PBE.

Computed properties:
As for the symmetry: No. 15. The formation energy is -3.61 eV/f.u.

Cell lengths 8.4181, 8.4181, 7.3268 Å; angles 107.15, 107.15, 51.28 degrees
With the nearest neighbours (Å) after each atom.
Sites, in units of the cell vectors:
Nd  0.0577  0.1800  0.2218  11 B 2.69-2.96
Nd  0.1800  0.0577  0.7218  11 B 2.69-2.96
Nd  0.3106  0.4507  0.3992  12 B 2.68-2.98
Nd  0.4507  0.3106  0.8992  12 B 2.68-2.98
Nd  0.5493  0.6894  0.1008  12 B 2.68-2.98
Nd  0.6894  0.5493  0.6008  12 B 2.68-2.98
Nd  0.8200  0.9423  0.2782  11 B 2.69-2.96
Nd  0.9423  0.8200  0.7782  11 B 2.69-2.96
B  0.0401  0.4623  0.8292  5 B 1.78-1.84
B  0.0898  0.5906  0.0605  5 B 1.68-1.84
B  0.0918  0.4096  0.5917  3 B 1.77-1.88
B  0.1722  0.3282  0.0397  5 B 1.77-1.83
B  0.2031  0.7120  0.1478  2 B 1.63-1.68
B  0.2880  0.7969  0.3522  2 B 1.63-1.68
B  0.3282  0.1722  0.5397  5 B 1.77-1.83
B  0.4094  0.9102  0.4395  5 B 1.68-1.84
B  0.4096  0.0918  0.0917  3 B 1.77-1.88
B  0.4623  0.0401  0.3292  5 B 1.78-1.84
B  0.5377  0.9599  0.6708  5 B 1.78-1.84
B  0.5904  0.9082  0.9083  3 B 1.77-1.88
B  0.5906  0.0898  0.5605  5 B 1.68-1.84
B  0.6718  0.8278  0.4603  5 B 1.77-1.83
B  0.7120  0.2031  0.6478  2 B 1.63-1.68
B  0.7969  0.2880  0.8522  2 B 1.63-1.68
B  0.8278  0.6718  0.9603  5 B 1.77-1.83
B  0.9082  0.5904  0.4083  3 B 1.77-1.88
B  0.9102  0.4094  0.9395  5 B 1.68-1.84
B  0.9599  0.5377  0.1708  5 B 1.78-1.84

***

Record 15
Here is crystalline NdB11 at its relaxed geometry from Alexandria via LeMat-Bulk. Energies are from PBE.

Computed properties:
As for the symmetry: No. 141. The formation energy is 9.08 eV/f.u.

Cell lengths 6.6580, 6.6580, 6.6580 Å; angles 115.91, 115.91, 97.24 degrees
With the nearest neighbours (Å) after each atom.
Sites, in units of the cell vectors:
Nd  0.3750  0.6250  0.7500  8 B 2.46
Nd  0.6250  0.3750  0.2500  8 B 2.46
B  0.0000  0.0000  0.0000  4 B 1.66
B  0.0000  0.0000  0.5000  4 B 1.66
B  0.0000  0.5000  0.0000  4 B 1.66
B  0.1185  0.5331  0.2959  1 B 1.66
B  0.1185  0.8226  0.5854  1 B 1.66
B  0.1250  0.8750  0.2500  4 B 2.08
B  0.1774  0.2628  0.2959  1 B 1.66
B  0.1774  0.8815  0.9146  1 B 1.66
B  0.2628  0.1774  0.7959  1 B 1.66
B  0.2628  0.4669  0.0854  1 B 1.66
B  0.4669  0.2628  0.5854  1 B 1.66
B  0.4669  0.8815  0.2041  1 B 1.66
B  0.5000  0.0000  0.5000  4 B 1.66
B  0.5331  0.1185  0.7959  1 B 1.66
B  0.5331  0.7372  0.4146  1 B 1.66
B  0.7372  0.5331  0.9146  1 B 1.66
B  0.7372  0.8226  0.2041  1 B 1.66
B  0.8226  0.1185  0.0854  1 B 1.66
B  0.8226  0.7372  0.7041  1 B 1.66
B  0.8750  0.1250  0.7500  4 B 2.08
B  0.8815  0.1774  0.4146  1 B 1.66
B  0.8815  0.4669  0.7041  1 B 1.66

***

Record 16
Here is crystalline NdNi6B2 at its relaxed geometry from Alexandria via LeMat-Bulk. Energies are from PBE.

Computed properties:
As for the symmetry: No. 227. The formation energy is -1.52 eV/f.u.

Cell lengths 6.9849, 6.9849, 6.9849 Å; angles 60.00, 60.00, 60.00 degrees
With the nearest neighbours (Å) after each atom.
Sites, in units of the cell vectors:
Nd  0.1250  0.1250  0.1250  6 Ni 2.92
Nd  0.8750  0.8750  0.8750  6 Ni 2.92
Ni  0.1701  0.1701  0.5799  2 B 1.92
Ni  0.1701  0.5799  0.1701  2 B 1.92
Ni  0.1701  0.5799  0.5799  2 B 1.92
Ni  0.4201  0.4201  0.8299  2 B 1.92
Ni  0.4201  0.8299  0.4201  2 B 1.92
Ni  0.4201  0.8299  0.8299  2 B 1.92
Ni  0.5799  0.1701  0.1701  2 B 1.92
Ni  0.5799  0.1701  0.5799  2 B 1.92
Ni  0.5799  0.5799  0.1701  2 B 1.92
Ni  0.8299  0.4201  0.4201  2 B 1.92
Ni  0.8299  0.4201  0.8299  2 B 1.92
Ni  0.8299  0.8299  0.4201  2 B 1.92
B  0.0000  0.5000  0.5000  6 Ni 1.92
B  0.5000  0.0000  0.5000  6 Ni 1.92
B  0.5000  0.5000  0.0000  6 Ni 1.92
B  0.5000  0.5000  0.5000  6 Ni 1.92

***

Record 17
Here is crystalline NdNi4B2 at its relaxed geometry from Alexandria via LeMat-Bulk. Energies are from PBE.

Computed properties:
As for the symmetry: No. 71. The formation energy is -0.97 eV/f.u.

Cell lengths 5.4129, 5.4129, 5.4129 Å; angles 142.20, 112.16, 80.36 degrees
With the nearest neighbours (Å) after each atom.
Sites, in units of the cell vectors:
Nd  0.0000  0.0000  0.0000  12 Ni 2.89-3.03, 4 B 2.99
Ni  0.1493  0.3393  0.8100  3 B 2.13-2.17, 1 Ni 2.30
Ni  0.4707  0.6607  0.8100  3 B 2.13-2.17, 1 Ni 2.30
Ni  0.5293  0.3393  0.1900  3 B 2.13-2.17, 1 Ni 2.30
Ni  0.8507  0.6607  0.1900  3 B 2.13-2.17, 1 Ni 2.30
B  0.2933  0.7933  0.5000  6 Ni 2.13-2.17
B  0.7067  0.2067  0.5000  6 Ni 2.13-2.17

***

Record 18
Here is crystalline NdNi9B2 at its relaxed geometry from Alexandria via LeMat-Bulk. Energies are from PBE.

Computed properties:
As for the symmetry: No. 191. The formation energy is -2.69 eV/f.u.

Cell lengths 6.9306, 6.9306, 3.3728 Å; angles 90.00, 90.00, 120.00 degrees
With the nearest neighbours (Å) after each atom.
Sites, in units of the cell vectors:
Nd  0.0000  0.0000  0.0000  12 Ni 3.07, 2 Nd 3.37
Ni  0.0000  0.5000  0.0000  2 B 2.00
Ni  0.2141  0.4283  0.5000  2 B 2.21, 4 Ni 2.46
Ni  0.2141  0.7859  0.5000  2 B 2.21, 4 Ni 2.46
Ni  0.4283  0.2141  0.5000  2 B 2.21, 4 Ni 2.46
Ni  0.5000  0.0000  0.0000  2 B 2.00
Ni  0.5000  0.5000  0.0000  2 B 2.00
Ni  0.5717  0.7859  0.5000  2 B 2.21, 4 Ni 2.46
Ni  0.7859  0.2141  0.5000  2 B 2.21, 4 Ni 2.46
Ni  0.7859  0.5717  0.5000  2 B 2.21, 4 Ni 2.46
B  0.3333  0.6667  0.0000  9 Ni 2.00-2.21
B  0.6667  0.3333  0.0000  9 Ni 2.00-2.21

***

Record 19
Here is crystalline NdNi3B at its relaxed geometry from Alexandria via LeMat-Bulk. Energies are from PBE.

Computed properties:
As for the symmetry: No. 63. The formation energy is -1.53 eV/f.u.

Cell lengths 5.8068, 5.8068, 8.1412 Å; angles 90.00, 90.00, 91.14 degrees
With the nearest neighbours (Å) after each atom.
Sites, in units of the cell vectors:
Nd  0.0001  0.9999  0.2500  10 Ni 2.83-3.03
Nd  0.9999  0.0001  0.7500  10 Ni 2.83-3.03
Nd  0.4444  0.5556  0.7500  12 Ni 2.76-2.98
Nd  0.5556  0.4444  0.2500  12 Ni 2.76-2.98
Ni  0.0684  0.4841  0.2500  2 B 2.08
Ni  0.2598  0.2598  0.0000  2 B 2.07
Ni  0.2598  0.2598  0.5000  2 B 2.07
Ni  0.2703  0.7297  0.0386  2 B 2.06
Ni  0.2703  0.7297  0.4614  2 B 2.06
Ni  0.4841  0.0684  0.7500  2 B 2.08
Ni  0.5159  0.9316  0.2500  2 B 2.08
Ni  0.7297  0.2703  0.5386  2 B 2.06
Ni  0.7297  0.2703  0.9614  2 B 2.06
Ni  0.7402  0.7402  0.0000  2 B 2.07
Ni  0.7402  0.7402  0.5000  2 B 2.07
Ni  0.9316  0.5159  0.7500  2 B 2.08
B  0.0000  0.5000  0.0000  6 Ni 2.06-2.08
B  0.0000  0.5000  0.5000  6 Ni 2.06-2.08
B  0.5000  0.0000  0.0000  6 Ni 2.06-2.08
B  0.5000  0.0000  0.5000  6 Ni 2.06-2.08

***

Record 20
Here is crystalline NdNi6B4 at its relaxed geometry from Alexandria via LeMat-Bulk. Energies are from PBE.

Computed properties:
As for the symmetry: No. 187. The formation energy is -2.94 eV/f.u.

Cell lengths 6.1399, 6.1399, 3.4488 Å; angles 90.00, 90.00, 120.00 degrees
With the nearest neighbours (Å) after each atom.
Sites, in units of the cell vectors:
Nd  0.0000  0.0000  0.0000  12 Ni 2.77-3.09, 6 B 2.94
Ni  0.2044  0.4088  0.5000  4 B 2.20-2.29, 2 Ni 2.38
Ni  0.2044  0.7956  0.5000  4 B 2.20-2.29, 2 Ni 2.38
Ni  0.5312  0.0624  0.0000  5 B 2.10-2.17
Ni  0.5312  0.4688  0.0000  5 B 2.10-2.17
Ni  0.5912  0.7956  0.5000  4 B 2.20-2.29, 2 Ni 2.38
Ni  0.9376  0.4688  0.0000  5 B 2.10-2.17
B  0.3333  0.6667  0.0000  9 Ni 2.10-2.20
B  0.4487  0.2243  0.5000  2 B 2.01, 4 Ni 2.17
B  0.7757  0.2243  0.5000  2 B 2.01, 4 Ni 2.17
B  0.7757  0.5513  0.5000  2 B 2.01, 4 Ni 2.17